Record 1
Density functional theory data (PBE-GGA) for a relaxed VCoSN2 crystal.

energy above the lowest structure with this stoichiometry = 251 meV/atom
ΔE_f (raw) = 0.80 eV/atom

Unit cell a=3.601 b=3.601 c=4.680 alpha=90.00 beta=90.00 gamma=90.00
Element x y z (fractional)
V 0.000 0.000 0.000
Co 0.500 0.500 0.500
S 0.500 0.500 0.000
N 0.000 0.500 0.500
N 0.500 0.000 0.500

***

Record 2
Density functional theory data (PBE-GGA) for a relaxed Mn3NbW crystal.

energy above the lowest structure with this stoichiometry = 0 meV/atom

Unit cell a=4.384 b=4.384 c=4.384 alpha=90.00 beta=90.00 gamma=90.00
Element x y z (fractional)
Mn 0.000 0.000 0.500
Mn 0.000 0.500 0.000
Mn 0.500 0.000 0.000
Nb 0.500 0.500 0.500
W 0.000 0.000 0.000

***

Record 3
Density functional theory data (PBE-GGA) for a relaxed Nd2TlCd5 crystal.

Unit cell a=9.251 b=9.251 c=9.992 alpha=90.00 beta=90.00 gamma=150.53
Element x y z (fractional)
Nd 0.000 0.000 0.000
Nd 0.000 0.000 0.500
Nd 0.195 0.805 0.750
Nd 0.805 0.195 0.250
Tl 0.456 0.544 0.250
Tl 0.544 0.456 0.750
Cd 0.194 0.806 0.104
Cd 0.194 0.806 0.396
Cd 0.355 0.645 0.030
Cd 0.355 0.645 0.470
Cd 0.387 0.613 0.750
Cd 0.613 0.387 0.250
Cd 0.645 0.355 0.530
Cd 0.645 0.355 0.970
Cd 0.806 0.194 0.604
Cd 0.806 0.194 0.896

***

Record 4
Density functional theory data (PBE-GGA) for a relaxed Re2NiPb crystal.

Unit cell a=3.108 b=4.825 c=4.617 alpha=90.00 beta=93.66 gamma=90.00
Element x y z (fractional)
Re 0.207 0.000 0.292
Re 0.793 0.000 0.708
Ni 0.500 0.500 0.500
Pb 0.000 0.500 0.000

***

Record 5
Density functional theory data (PBE-GGA) for a relaxed Rb2YCuCl6 crystal.

energy above the lowest structure with this stoichiometry = 0 meV/atom
ΔE_f (raw) = -1.77 eV/atom

Unit cell a=7.359 b=7.359 c=7.359 alpha=60.00 beta=60.00 gamma=60.00
Element x y z (fractional)
Rb 0.250 0.250 0.250
Rb 0.750 0.750 0.750
Y 0.000 0.000 0.000
Cu 0.500 0.500 0.500
Cl 0.254 0.254 0.746
Cl 0.254 0.746 0.254
Cl 0.254 0.746 0.746
Cl 0.746 0.254 0.254
Cl 0.746 0.254 0.746
Cl 0.746 0.746 0.254

***

Record 6
Density functional theory data (PBE-GGA) for a relaxed KGeH2Rh2 crystal.

Unit cell a=6.001 b=5.772 c=6.636 alpha=90.00 beta=116.82 gamma=90.00
Element x y z (fractional)
K 0.250 0.250 0.000
K 0.750 0.750 0.000
Ge 0.084 0.750 0.668
Ge 0.916 0.250 0.332
H 0.243 0.750 0.340
H 0.404 0.250 0.659
H 0.596 0.750 0.341
H 0.757 0.250 0.660
Rh 0.273 0.000 0.500
Rh 0.273 0.500 0.500
Rh 0.727 0.000 0.500
Rh 0.727 0.500 0.500

***

Record 7
Density functional theory data (PBE-GGA) for a relaxed Nd3DyRh8 crystal.

Unit cell a=9.353 b=9.353 c=9.353 alpha=33.54 beta=33.54 gamma=33.54
Element x y z (fractional)
Nd 0.000 0.000 0.000
Nd 0.125 0.125 0.125
Nd 0.501 0.501 0.501
Dy 0.626 0.626 0.626
Rh 0.061 0.563 0.563
Rh 0.064 0.064 0.564
Rh 0.064 0.564 0.064
Rh 0.313 0.313 0.313
Rh 0.563 0.061 0.563
Rh 0.563 0.563 0.061
Rh 0.564 0.064 0.064
Rh 0.813 0.813 0.813

***

Record 8
Density functional theory data (PBE-GGA) for a relaxed Na4Tb3GeS8 crystal.

ΔE_f (raw) = -1.50 eV/atom

Unit cell a=8.080 b=8.080 c=8.080 alpha=58.56 beta=58.56 gamma=58.56
Element x y z (fractional)
Na 0.000 0.000 0.000
Na 0.000 0.500 0.500
Na 0.500 0.000 0.500
Na 0.500 0.500 0.000
Tb 0.000 0.000 0.500
Tb 0.000 0.500 0.000
Tb 0.500 0.000 0.000
Ge 0.500 0.500 0.500
S 0.243 0.243 0.243
S 0.254 0.734 0.734
S 0.266 0.266 0.746
S 0.266 0.746 0.266
S 0.734 0.254 0.734
S 0.734 0.734 0.254
S 0.746 0.266 0.266
S 0.757 0.757 0.757

***

Record 9
Density functional theory data (PBE-GGA) for a relaxed Ag2TeCl crystal.

energy above the lowest structure with this stoichiometry = 21 meV/atom
ΔE_f (raw) = -0.17 eV/atom

Unit cell a=3.402 b=4.409 c=6.951 alpha=90.00 beta=90.35 gamma=90.00
Element x y z (fractional)
Ag 0.000 0.000 0.000
Ag 0.495 0.500 0.853
Te 0.347 0.000 0.626
Cl 0.862 0.500 0.199

***

Record 10
Density functional theory data (PBE-GGA) for a relaxed GdCdAgIr crystal.

Unit cell a=4.859 b=4.859 c=4.859 alpha=60.00 beta=60.00 gamma=60.00
Element x y z (fractional)
Gd 0.000 0.000 0.000
Cd 0.500 0.500 0.500
Ag 0.250 0.250 0.250
Ir 0.750 0.750 0.750

***

Record 11
Density functional theory data (PBE-GGA) for a relaxed Nd2Mg3Pb2 crystal.

Unit cell a=6.207 b=6.207 c=7.736 alpha=110.04 beta=110.04 gamma=44.35
Element x y z (fractional)
Nd 0.145 0.145 0.280
Nd 0.855 0.855 0.720
Mg 0.395 0.395 0.070
Mg 0.500 0.500 0.500
Mg 0.605 0.605 0.930
Pb 0.154 0.154 0.728
Pb 0.846 0.846 0.272

***

Record 12
Density functional theory data (PBE-GGA) for a relaxed NaLi4Zn9 crystal.

Unit cell a=8.787 b=8.787 c=8.787 alpha=119.60 beta=119.60 gamma=90.69
Element x y z (fractional)
Na 0.250 0.250 0.000
Na 0.750 0.750 0.000
Li 0.063 0.563 0.869
Li 0.194 0.063 0.500
Li 0.306 0.806 0.869
Li 0.437 0.306 0.500
Li 0.563 0.694 0.500
Li 0.694 0.194 0.131
Li 0.806 0.937 0.500
Li 0.937 0.437 0.131
Zn 0.000 0.500 0.500
Zn 0.056 0.201 0.257
Zn 0.065 0.789 0.500
Zn 0.201 0.944 0.145
Zn 0.211 0.711 0.276
Zn 0.289 0.565 0.500
Zn 0.299 0.444 0.743
Zn 0.435 0.935 0.724
Zn 0.444 0.701 0.145
Zn 0.500 0.000 0.500
Zn 0.556 0.299 0.855
Zn 0.565 0.065 0.276
Zn 0.701 0.556 0.257
Zn 0.711 0.435 0.500
Zn 0.789 0.289 0.724
Zn 0.799 0.056 0.855
Zn 0.935 0.211 0.500
Zn 0.944 0.799 0.743

***

Record 13
Density functional theory data (PBE-GGA) for a relaxed Rb3Tl3GeCl8 crystal.

ΔE_f (raw) = -1.35 eV/atom

Unit cell a=9.263 b=9.263 c=9.263 alpha=59.41 beta=59.41 gamma=59.41
Element x y z (fractional)
Rb 0.000 0.500 0.500
Rb 0.500 0.000 0.500
Rb 0.500 0.500 0.000
Tl 0.000 0.000 0.500
Tl 0.000 0.500 0.000
Tl 0.500 0.000 0.000
Ge 0.500 0.500 0.500
Cl 0.248 0.248 0.248
Cl 0.288 0.710 0.710
Cl 0.290 0.290 0.712
Cl 0.290 0.712 0.290
Cl 0.710 0.288 0.710
Cl 0.710 0.710 0.288
Cl 0.712 0.290 0.290
Cl 0.752 0.752 0.752

***

Record 14
Density functional theory data (PBE-GGA) for a relaxed Pm3PrNdY crystal.

Unit cell a=6.413 b=6.413 c=12.073 alpha=90.00 beta=90.00 gamma=123.75
Element x y z (fractional)
Pm 0.151 0.849 0.750
Pm 0.329 0.671 0.517
Pm 0.329 0.671 0.983
Pm 0.671 0.329 0.017
Pm 0.671 0.329 0.483
Pm 0.849 0.151 0.250
Pr 0.477 0.523 0.250
Pr 0.523 0.477 0.750
Nd 0.000 0.000 0.000
Nd 0.000 0.000 0.500
Y 0.167 0.833 0.250
Y 0.833 0.167 0.750

***

Record 15
Density functional theory data (PBE-GGA) for a relaxed ReC7 crystal.

Unit cell a=4.457 b=4.457 c=4.457 alpha=60.00 beta=60.00 gamma=60.00
Element x y z (fractional)
Re 0.000 0.000 0.000
C 0.000 0.000 0.500
C 0.000 0.500 0.000
C 0.000 0.500 0.500
C 0.500 0.000 0.000
C 0.500 0.000 0.500
C 0.500 0.500 0.000
C 0.500 0.500 0.500

***

Record 16
Density functional theory data (PBE-GGA) for a relaxed Rb2ReAuS crystal.

ΔE_f (raw) = 1.00 eV/atom

Unit cell a=6.694 b=6.694 c=4.675 alpha=90.00 beta=90.00 gamma=90.00
Element x y z (fractional)
Rb 0.000 0.500 0.000
Rb 0.500 0.000 0.000
Re 0.000 0.000 0.500
Au 0.500 0.500 0.000
S 0.500 0.500 0.500

***

Record 17
Density functional theory data (PBE-GGA) for a relaxed Cu3Mo5 crystal.

energy above the lowest structure with this stoichiometry = 22 meV/atom

Unit cell a=7.347 b=7.347 c=4.789 alpha=108.97 beta=108.97 gamma=83.94
Element x y z (fractional)
Cu 0.000 0.000 0.250
Cu 0.000 0.000 0.750
Cu 0.160 0.500 0.831
Cu 0.500 0.160 0.331
Cu 0.500 0.840 0.669
Cu 0.840 0.500 0.169
Mo 0.153 0.299 0.226
Mo 0.153 0.701 0.427
Mo 0.299 0.153 0.726
Mo 0.299 0.847 0.073
Mo 0.500 0.500 0.250
Mo 0.500 0.500 0.750
Mo 0.701 0.153 0.927
Mo 0.701 0.847 0.274
Mo 0.847 0.299 0.573
Mo 0.847 0.701 0.774

***

Record 18
Density functional theory data (PBE-GGA) for a relaxed Pr4PaSb5 crystal.

ΔE_f (raw) = -1.05 eV/atom

Unit cell a=7.820 b=7.820 c=7.820 alpha=99.59 beta=99.59 gamma=131.83
Element x y z (fractional)
Pr 0.097 0.302 0.399
Pr 0.302 0.903 0.205
Pr 0.698 0.097 0.795
Pr 0.903 0.698 0.601
Pa 0.500 0.500 0.000
Sb 0.000 0.000 0.000
Sb 0.210 0.597 0.807
Sb 0.403 0.210 0.612
Sb 0.597 0.790 0.388
Sb 0.790 0.403 0.193

***

Record 19
Density functional theory data (PBE-GGA) for a relaxed LiSm2I6 crystal.

energy above the lowest structure with this stoichiometry = 0 meV/atom
ΔE_f (raw) = -1.29 eV/atom

Unit cell a=10.384 b=10.384 c=9.568 alpha=107.63 beta=107.63 gamma=23.45
Element x y z (fractional)
Li 0.000 0.000 0.000
Sm 0.338 0.338 0.680
Sm 0.662 0.662 0.320
I 0.165 0.165 0.084
I 0.172 0.172 0.574
I 0.494 0.494 0.776
I 0.506 0.506 0.224
I 0.828 0.828 0.426
I 0.835 0.835 0.916

***

Record 20
Density functional theory data (PBE-GGA) for a relaxed TbPrNdY3 crystal.

Unit cell a=6.391 b=6.391 c=11.921 alpha=90.00 beta=90.00 gamma=124.42
Element x y z (fractional)
Tb 0.172 0.828 0.750
Tb 0.828 0.172 0.250
Pr 0.499 0.501 0.750
Pr 0.501 0.499 0.250
Nd 0.000 0.000 0.000
Nd 0.000 0.000 0.500
Y 0.171 0.829 0.250
Y 0.328 0.672 0.000
Y 0.328 0.672 0.500
Y 0.672 0.328 0.000
Y 0.672 0.328 0.500
Y 0.829 0.171 0.750

***

Number 1: density 4.65 Mg/m³, DFT total energy -33.0 eV/cell. Number 2: density 8.70 Mg/m³, DFT total energy -42.8 eV/cell. Number 3: density 8.33 Mg/m³, DFT total energy -36.9 eV/cell. Number 4: density 15.34 Mg/m³, DFT total energy -31.4 eV/cell. Number 5: density 3.16 Mg/m³, DFT total energy -41.3 eV/cell. Number 6: density 5.17 Mg/m³, DFT total energy -56.7 eV/cell. Number 7: density 10.59 Mg/m³, DFT total energy -85.9 eV/cell. Number 8: density 4.13 Mg/m³, DFT total energy -80.9 eV/cell. Number 9: density 6.03 Mg/m³, DFT total energy -11.4 eV/cell. Number 10: density 11.67 Mg/m³, DFT total energy -27.8 eV/cell. Number 11: density 6.66 Mg/m³, DFT total energy -23.9 eV/cell. Number 12: density 4.40 Mg/m³, DFT total energy -43.4 eV/cell. Number 13: density 3.67 Mg/m³, DFT total energy -49.6 eV/cell. Number 14: density 6.51 Mg/m³, DFT total energy -59.2 eV/cell. Number 15: density 7.17 Mg/m³, DFT total energy -48.8 eV/cell. Number 16: density 4.65 Mg/m³, DFT total energy -16.8 eV/cell. Number 17: density 9.63 Mg/m³, DFT total energy -128.8 eV/cell. Number 18: density 7.16 Mg/m³, DFT total energy -59.7 eV/cell. Number 19: density 4.55 Mg/m³, DFT total energy -32.3 eV/cell. Number 20: density 5.88 Mg/m³, DFT total energy -65.9 eV/cell.